(1)
A plane-wave DFT calculation with GGA-PBE was carried out for Ce4O3 after structural relaxation.

Calculated values
Final energy = -7.9433 eV/atom
ΔE_f (raw) = -2.43 eV per atom

a = 4.9648 Å, b = 4.9648 Å, c = 4.9648 Å
α = 90.00°, β = 90.00°, γ = 90.00°
Space group Pm-3m (No. 221)
Unique sites:
Ce (0.0000, 0.0000, 0.0000)
Ce (0.0000, 0.5000, 0.5000)
O (0.0000, 0.0000, 0.5000)

(2)
A plane-wave DFT calculation with GGA-PBE was carried out for LuZn2Cu after structural relaxation.

Calculated values
Final energy = -2.9577 eV/atom

a = 3.1462 Å, b = 3.1462 Å, c = 6.8458 Å
α = 90.00°, β = 90.00°, γ = 90.00°
Space group P4/mmm (No. 123)
Unique sites:
Lu (0.0000, 0.0000, 0.0000)
Zn (0.5000, 0.5000, 0.2992)
Cu (0.0000, 0.0000, 0.5000)

(3)
A plane-wave DFT calculation with GGA-PBE was carried out for Mg2ScSb after structural relaxation.

Calculated values
Final energy = -3.5257 eV/atom
ΔE_f (raw) = -0.11 eV per atom

a = 8.5270 Å, b = 8.5270 Å, c = 5.7503 Å
α = 90.00°, β = 90.00°, γ = 90.00°
Space group I-42d (No. 122)
Unique sites:
Mg (0.2115, 0.2500, 0.1250)
Sc (0.0000, 0.0000, 0.5000)
Sb (0.0000, 0.0000, 0.0000)

(4)
A plane-wave DFT calculation with GGA-PBE was carried out for Y4HoEr7 after structural relaxation.

Calculated values
Final energy = -5.1106 eV/atom
E above lowest polymorph = 0 meV/atom

a = 6.7373 Å, b = 6.9384 Å, c = 8.6548 Å
α = 79.24°, β = 76.52°, γ = 76.00°
Space group P-1 (No. 2)
Unique sites:
Y (0.1538, 0.2691, 0.3175)
Y (0.3130, 0.8905, 0.6676)
Ho (0.5000, 0.5000, 0.0000)
Er (0.0208, 0.2524, 0.9724)
Er (0.1809, 0.7614, 0.3268)
Er (0.3221, 0.3919, 0.6323)
Er (0.5000, 0.0000, 0.0000)

(5)
A plane-wave DFT calculation with GGA-PBE was carried out for HfPa2Pt9 after structural relaxation.

Calculated values
Final energy = -7.8931 eV/atom

a = 4.1332 Å, b = 4.1332 Å, c = 12.4268 Å
α = 90.00°, β = 90.00°, γ = 90.00°
Space group P4/mmm (No. 123)
Unique sites:
Hf (0.0000, 0.0000, 0.0000)
Pa (0.0000, 0.0000, 0.3300)
Pt (0.0000, 0.5000, 0.1579)
Pt (0.0000, 0.5000, 0.5000)
Pt (0.5000, 0.5000, 0.0000)
Pt (0.5000, 0.5000, 0.3257)

(6)
A plane-wave DFT calculation with GGA-PBE was carried out for Cs3SrAu4 after structural relaxation.

Calculated values
Final energy = -2.5958 eV/atom

a = 4.1934 Å, b = 4.1934 Å, c = 17.2470 Å
α = 90.00°, β = 90.00°, γ = 90.00°
Space group P4/mmm (No. 123)
Unique sites:
Cs (0.0000, 0.0000, 0.0000)
Cs (0.0000, 0.0000, 0.2583)
Sr (0.0000, 0.0000, 0.5000)
Au (0.5000, 0.5000, 0.1308)
Au (0.5000, 0.5000, 0.4145)

(7)
A plane-wave DFT calculation with GGA-PBE was carried out for Dy3Zn2Ni after structural relaxation.

Calculated values
Final energy = -4.0452 eV/atom
E above lowest polymorph = 12 meV/atom

a = 4.9395 Å, b = 4.9395 Å, c = 6.0848 Å
α = 90.00°, β = 90.00°, γ = 120.00°
Space group P-3m1 (No. 164)
Unique sites:
Dy (0.0000, 0.0000, 0.0000)
Dy (0.3333, 0.6667, 0.6525)
Zn (0.3333, 0.6667, 0.1501)
Ni (0.0000, 0.0000, 0.5000)

(8)
A plane-wave DFT calculation with GGA-PBE was carried out for PrDyGe after structural relaxation.

Calculated values
Final energy = -5.1872 eV/atom
E above lowest polymorph = 0 meV/atom

a = 7.0701 Å, b = 7.0701 Å, c = 7.0701 Å
α = 90.00°, β = 90.00°, γ = 90.00°
Space group F-43m (No. 216)
Unique sites:
Pr (0.0000, 0.0000, 0.0000)
Dy (0.0000, 0.0000, 0.5000)
Ge (0.2500, 0.2500, 0.2500)

no.,Fermi-level density of states (states/eV per cell)
1,9.37
2,1.67
3,1.94
4,21.91
5,12.54
6,1.45
7,3.60
8,10.57